Entry 1:
## PrY2Tl (PBE)

Data for a geometry-optimized PrY2Tl structure.

Results
VASP energy   -41.54 eV for the cell shown
Theoretical density   6.74 g/cm³
Total moment   0.00 μB per cell

Unit cell a=4.767 b=4.890 c=11.311 alpha=90.00 beta=102.05 gamma=90.00
Fractional coordinates of all 8 atoms:
Pr 0.193 0.250 0.387
Pr 0.807 0.750 0.613
Y 0.057 0.750 0.115
Y 0.435 0.750 0.870
Y 0.565 0.250 0.130
Y 0.943 0.250 0.885
Tl 0.340 0.250 0.677
Tl 0.660 0.750 0.323


Entry 2:
## Pr12Y7Tl (PBE)

Data for a geometry-optimized Pr12Y7Tl structure.

Results
VASP energy   -91.94 eV for the cell shown
Theoretical density   5.20 g/cm³
Total moment   0.00 μB per cell

Unit cell a=10.146 b=10.146 c=10.146 alpha=109.47 beta=109.47 gamma=109.47
Fractional coordinates of all 20 atoms:
Pr 0.001 0.782 0.219
Pr 0.218 0.219 0.437
Pr 0.218 0.781 0.999
Pr 0.219 0.001 0.782
Pr 0.219 0.437 0.218
Pr 0.437 0.218 0.219
Pr 0.563 0.782 0.781
Pr 0.781 0.563 0.782
Pr 0.781 0.999 0.218
Pr 0.782 0.219 0.001
Pr 0.782 0.781 0.563
Pr 0.999 0.218 0.781
Y 0.000 0.000 0.500
Y 0.000 0.500 0.000
Y 0.000 0.500 0.500
Y 0.500 0.000 0.000
Y 0.500 0.000 0.500
Y 0.500 0.500 0.000
Y 0.500 0.500 0.500
Tl 0.000 0.000 0.000


Entry 3:
## Pr7YTl3 (PBE)

Data for a geometry-optimized Pr7YTl3 structure.

Results
VASP energy   -47.27 eV for the cell shown
Theoretical density   7.47 g/cm³
Total moment   0.00 μB per cell

Unit cell a=8.511 b=8.511 c=6.024 alpha=110.57 beta=110.57 gamma=92.43
Fractional coordinates of all 11 atoms:
Pr 0.000 0.000 0.000
Pr 0.107 0.534 0.320
Pr 0.334 0.334 0.835
Pr 0.466 0.893 0.680
Pr 0.534 0.107 0.320
Pr 0.666 0.666 0.165
Pr 0.893 0.466 0.680
Y 0.000 0.000 0.500
Tl 0.262 0.738 0.000
Tl 0.500 0.500 0.500
Tl 0.738 0.262 0.000


Entry 4:
## Pr3Y2Tl2 (PBE)

Data for a geometry-optimized Pr3Y2Tl2 structure.

Results
VASP energy   -32.73 eV for the cell shown
Theoretical density   7.60 g/cm³
Total moment   0.00 μB per cell

Unit cell a=12.449 b=12.449 c=3.589 alpha=90.00 beta=90.00 gamma=156.65
Fractional coordinates of all 7 atoms:
Pr 0.000 0.000 0.000
Pr 0.143 0.857 0.000
Pr 0.857 0.143 0.000
Y 0.287 0.713 0.500
Y 0.713 0.287 0.500
Tl 0.427 0.573 0.500
Tl 0.573 0.427 0.500


Entry 5:
## Pr3Y4Tl (PBE)

Data for a geometry-optimized Pr3Y4Tl structure.

Results
VASP energy   -86.44 eV for the cell shown
Theoretical density   6.30 g/cm³
Total moment   0.00 μB per cell

Unit cell a=11.420 b=7.191 c=6.311 alpha=90.00 beta=90.00 gamma=90.00
Fractional coordinates of all 16 atoms:
Pr 0.000 0.128 0.000
Pr 0.237 0.113 0.349
Pr 0.263 0.887 0.849
Pr 0.500 0.872 0.500
Pr 0.737 0.887 0.849
Pr 0.763 0.113 0.349
Y 0.000 0.379 0.542
Y 0.000 0.629 0.022
Y 0.240 0.623 0.367
Y 0.260 0.377 0.867
Y 0.500 0.371 0.522
Y 0.500 0.621 0.042
Y 0.740 0.377 0.867
Y 0.760 0.623 0.367
Tl 0.000 0.856 0.531
Tl 0.500 0.144 0.031


Entry 6:
## Pr3Y3Tl2 (PBE)

Data for a geometry-optimized Pr3Y3Tl2 structure.

Results
VASP energy   -79.05 eV for the cell shown
Theoretical density   6.97 g/cm³
Total moment   0.00 μB per cell

Unit cell a=6.611 b=6.611 c=16.562 alpha=90.00 beta=90.00 gamma=133.73
Fractional coordinates of all 16 atoms:
Pr 0.044 0.956 0.605
Pr 0.044 0.956 0.895
Pr 0.281 0.719 0.750
Pr 0.719 0.281 0.250
Pr 0.956 0.044 0.105
Pr 0.956 0.044 0.395
Y 0.364 0.636 0.539
Y 0.364 0.636 0.961
Y 0.437 0.563 0.250
Y 0.563 0.437 0.750
Y 0.636 0.364 0.039
Y 0.636 0.364 0.461
Tl 0.235 0.765 0.127
Tl 0.235 0.765 0.373
Tl 0.765 0.235 0.627
Tl 0.765 0.235 0.873


Entry 7:
## Pr2Y8Tl (PBE)

Data for a geometry-optimized Pr2Y8Tl structure.

Results
VASP energy   -64.03 eV for the cell shown
Theoretical density   5.54 g/cm³
Total moment   0.00 μB per cell

Unit cell a=10.203 b=10.203 c=6.535 alpha=94.79 beta=94.79 gamma=31.95
Fractional coordinates of all 11 atoms:
Pr 0.244 0.244 0.334
Pr 0.756 0.756 0.666
Y 0.043 0.043 0.268
Y 0.152 0.152 0.809
Y 0.340 0.340 0.876
Y 0.422 0.422 0.399
Y 0.578 0.578 0.601
Y 0.660 0.660 0.124
Y 0.848 0.848 0.191
Y 0.957 0.957 0.732
Tl 0.500 0.500 0.000


Entry 8:
## PrYTlZn (PBE)

Data for a geometry-optimized PrYTlZn structure.

Results
VASP energy   -16.34 eV for the cell shown
Theoretical density   7.80 g/cm³
Total moment   0.00 μB per cell

Unit cell a=3.732 b=3.732 c=7.636 alpha=90.00 beta=90.00 gamma=90.00
Fractional coordinates of all 4 atoms:
Pr 0.000 0.000 0.000
Y 0.000 0.000 0.543
Tl 0.500 0.500 0.285
Zn 0.500 0.500 0.753